Entry 1:
First-principles (GGA-PBE) data for a geometry-optimized K2SbPtF structure, as listed in the Alexandria database.

Computed properties:
Formation energy (no corrections) (eV per atom): -0.77
Fermi-level density of states (states/eV/cell): 1.571
Calculated total energy (eV per cell): -18.10
Space-group type: P4/mmm, No. 123

Lattice parameters (Å, degrees): 6.3129 4.8815 6.3129 90.00 90.00 90.00
Atoms (fractional coordinates):
F1 0.5000 0.5000 0.5000
Pt1 0.0000 0.0000 0.0000
Sb1 0.0000 0.5000 0.0000
K1 0.5000 0.0000 0.0000
K2 0.0000 0.0000 0.5000

=====

Entry 2:
First-principles (GGA-PBE) data for a geometry-optimized KScPtF2 structure, as listed in the Alexandria database.

Computed properties:
Formation energy (no corrections) (eV per atom): -2.10
Fermi-level density of states (states/eV/cell): 0.000
Calculated total energy (eV per cell): -27.72
Space-group type: P4/mmm, No. 123

Lattice parameters (Å, degrees): 4.3141 5.2006 4.3141 90.00 90.00 90.00
Atoms (fractional coordinates):
Sc1 0.0000 0.0000 0.0000
F1 0.0000 0.0000 0.5000
K1 0.5000 0.5000 0.5000
Pt1 0.0000 0.5000 0.0000
F2 0.5000 0.0000 0.0000

=====

Entry 3:
First-principles (GGA-PBE) data for a geometry-optimized KTaPt2F structure, as listed in the Alexandria database.

Computed properties:
Formation energy (no corrections) (eV per atom): 0.33
Fermi-level density of states (states/eV/cell): 7.083
Calculated total energy (eV per cell): -25.26
Space-group type: P4/mmm, No. 123

Lattice parameters (Å, degrees): 4.7822 4.7822 9.8632 90.00 90.00 90.00
Site moments in Bohr magnetons follow the coordinates.
Atoms (fractional coordinates):
Pt1 0.5000 0.0000 0.0000  0.00
F1 0.5000 0.5000 0.5000  -0.08
K1 0.0000 0.0000 0.5000  0.00
Ta1 0.0000 0.0000 0.0000  0.00
Pt2 0.0000 0.5000 0.0000  0.00